1.
An optimized crystal structure of GdPuIn. Source: OQMD, functional PBE-GGA.

## Properties
E above lowest polymorph = 0.0 meV per atom
Crystal system = cubic
Symmetry = F-43m
Theoretical density = 8.57 g cm⁻³

Geometry as POSCAR:
```
GdPuIn
1.0
0.000 3.684 3.684
3.684 0.000 3.684
3.684 3.684 0.000
Gd In Pu
1 1 1
Direct
0.250 0.250 0.250
0.000 0.000 0.000
0.750 0.750 0.750
```

2.
An optimized crystal structure of SrTaIr. Source: OQMD, functional PBE-GGA.

## Properties
E above lowest polymorph = 1384.9 meV per atom
Crystal system = cubic
Symmetry = F-43m
Theoretical density = 10.93 g cm⁻³

Geometry as POSCAR:
```
SrTaIr
1.0
-1.812 -2.420 3.502
-4.589 -0.175 0.560
-2.285 -3.934 -0.844
Ir Sr Ta
1 1 1
Direct
0.250 0.250 0.250
0.000 0.000 0.000
0.750 0.750 0.750
```

3.
An optimized crystal structure of NpNi. Source: OQMD, functional PBE-GGA.

## Properties
Energy of formation from the pure elements = 0.1852 eV per atom
Crystal system = hexagonal
Symmetry = P-6m2
Theoretical density = 15.22 g cm⁻³

Geometry as POSCAR:
```
NpNi
1.0
2.799 0.000 0.000
-1.399 2.424 0.000
0.000 0.000 4.756
Ni Np
1 1
Direct
0.667 0.333 0.750
0.333 0.667 0.250
```

4.
An optimized crystal structure of Zr2BeIr. Source: OQMD, functional PBE-GGA.

## Properties
Crystal system = cubic
DFT total energy = -30.45 eV per cell
Symmetry = F-43m
Theoretical density = 9.60 g cm⁻³

Geometry as POSCAR:
```
Zr2BeIr
1.0
-3.641 -0.943 2.551
-2.663 3.367 1.493
-4.175 0.527 -1.717
Be Ir Zr
1 1 2
Direct
0.500 0.500 0.500
0.250 0.250 0.250
0.000 0.000 0.000
0.750 0.750 0.750
```

5.
An optimized crystal structure of Ta2BOs. Source: OQMD, functional PBE-GGA.

## Properties
Crystal system = cubic
DFT total energy = -39.42 eV per cell
Symmetry = F-43m
Theoretical density = 16.07 g cm⁻³

Geometry as POSCAR:
```
Ta2BOs
1.0
0.000 3.075 3.075
3.075 0.000 3.075
3.075 3.075 0.000
B Os Ta
1 1 2
Direct
0.500 0.500 0.500
0.250 0.250 0.250
0.000 0.000 0.000
0.750 0.750 0.750
```

6.
An optimized crystal structure of NaHg4F12. Source: OQMD, functional PBE-GGA.

## Properties
Crystal system = cubic
DFT total energy = -46.90 eV per cell
Symmetry = Im-3
Theoretical density = 6.70 g cm⁻³

Geometry as POSCAR:
```
NaHg4F12
1.0
5.552 -0.684 -4.164
-0.291 -5.408 4.393
-5.800 0.167 -3.868
F Hg Na
12 4 1
Direct
0.296 0.838 0.134
0.458 0.296 0.162
0.866 0.704 0.162
0.838 0.134 0.296
0.162 0.458 0.296
0.296 0.162 0.458
0.704 0.838 0.542
0.162 0.866 0.704
0.838 0.542 0.704
0.134 0.296 0.838
0.542 0.704 0.838
0.704 0.162 0.866
0.500 0.000 0.000
0.000 0.500 0.000
0.000 0.000 0.500
0.500 0.500 0.500
0.000 0.000 0.000
```

7.
An optimized crystal structure of Y4Ta2Pb3N3. Source: OQMD, functional PBE-GGA.

## Properties
Crystal system = monoclinic
DFT total energy = -190.79 eV per cell
Symmetry = C2/c
Theoretical density = 9.93 g cm⁻³

Geometry as POSCAR:
```
Y4Ta2Pb3N3
1.0
5.175 -3.003 0.000
5.175 3.003 0.000
-3.488 0.000 14.864
N Pb Ta Y
6 6 4 8
Direct
0.500 0.000 0.000
0.807 0.346 0.000
0.193 0.654 0.000
0.346 0.807 0.500
0.000 0.500 0.500
0.654 0.193 0.500
0.583 0.722 0.247
0.887 0.113 0.250
0.278 0.417 0.253
0.722 0.583 0.747
0.113 0.887 0.750
0.417 0.278 0.753
0.524 0.348 0.071
0.652 0.476 0.429
0.348 0.524 0.571
0.476 0.652 0.929
0.190 0.038 0.088
0.871 0.697 0.088
0.303 0.129 0.412
0.962 0.810 0.412
0.038 0.190 0.588
0.697 0.871 0.588
0.129 0.303 0.912
0.810 0.962 0.912
```

8.
An optimized crystal structure of AcSi6Hg. Source: OQMD, functional PBE-GGA.

## Properties
Crystal system = monoclinic
DFT total energy = -36.00 eV per cell
Symmetry = C2/m
Theoretical density = 5.27 g cm⁻³

Geometry as POSCAR:
```
AcSi6Hg
1.0
6.098 0.000 0.000
3.044 5.284 0.000
3.009 1.734 5.829
Ac Hg Si
1 1 6
Direct
0.500 0.500 0.500
0.000 0.000 0.000
0.100 0.495 0.304
0.495 0.100 0.304
0.100 0.100 0.305
0.900 0.900 0.695
0.505 0.900 0.696
0.900 0.505 0.696
```

9.
An optimized crystal structure of PmHfNp. Source: OQMD, functional PBE-GGA.

## Properties
Energy of formation from the pure elements = 1.1273 eV per atom
E above lowest polymorph = 0.0 meV per atom
Crystal system = cubic
Symmetry = F-43m
Theoretical density = 10.07 g cm⁻³

Geometry as POSCAR:
```
PmHfNp
1.0
-2.459 3.922 2.080
0.765 4.697 -1.762
-3.663 2.364 -2.597
Hf Np Pm
1 1 1
Direct
0.000 0.000 0.000
0.250 0.250 0.250
0.750 0.750 0.750
```

10.
An optimized crystal structure of DyYMg6. Source: OQMD, functional PBE-GGA.

## Properties
E above lowest polymorph = 0.0 meV per atom
Crystal system = tetragonal
Symmetry = P4/mmm
Theoretical density = 3.38 g cm⁻³

Geometry as POSCAR:
```
DyYMg6
1.0
5.167 0.000 0.000
0.000 5.167 0.000
0.000 0.000 7.304
Dy Mg Y
1 6 1
Direct
0.000 0.000 0.500
0.000 0.000 0.000
0.500 0.000 0.251
0.000 0.500 0.251
0.500 0.500 0.500
0.500 0.000 0.749
0.000 0.500 0.749
0.500 0.500 0.000
```

11.
An optimized crystal structure of NdYSb. Source: OQMD, functional PBE-GGA.

## Properties
Crystal system = cubic
DFT total energy = -17.19 eV per cell
Symmetry = F-43m
Theoretical density = 6.05 g cm⁻³

Geometry as POSCAR:
```
NdYSb
1.0
4.977 -1.300 0.451
1.473 -4.888 -0.780
2.737 -1.233 -4.202
Nd Sb Y
1 1 1
Direct
0.250 0.250 0.250
0.000 0.000 0.000
0.750 0.750 0.750
```

12.
An optimized crystal structure of SmCuAsP. Source: OQMD, functional PBE-GGA.

## Properties
E above lowest polymorph = 0.0 meV per atom
Crystal system = tetragonal
Symmetry = P4/nmm
Theoretical density = 7.18 g cm⁻³

Geometry as POSCAR:
```
SmCuAsP
1.0
3.858 0.000 0.000
0.000 3.858 0.000
0.000 0.000 9.942
As Cu P Sm
2 2 2 2
Direct
0.000 0.000 0.000
0.500 0.500 0.000
0.000 0.000 0.500
0.500 0.500 0.500
0.000 0.500 0.353
0.500 0.000 0.647
0.500 0.000 0.244
0.000 0.500 0.756
```

13.
An optimized crystal structure of NdPaBi. Source: OQMD, functional PBE-GGA.

## Properties
E above lowest polymorph = 0.0 meV per atom
Crystal system = cubic
Symmetry = F-43m
Theoretical density = 8.97 g cm⁻³

Geometry as POSCAR:
```
NdPaBi
1.0
0.000 3.781 3.781
3.781 0.000 3.781
3.781 3.781 0.000
Bi Nd Pa
1 1 1
Direct
0.250 0.250 0.250
0.750 0.750 0.750
0.000 0.000 0.000
```

14.
An optimized crystal structure of HoAuSO. Source: OQMD, functional PBE-GGA.

## Properties
E above lowest polymorph = 48.3 meV per atom
Crystal system = orthorhombic
Symmetry = Aem2
Theoretical density = 9.65 g cm⁻³

Geometry as POSCAR:
```
HoAuSO
1.0
3.832 0.912 -0.086
-0.476 2.253 3.197
1.821 -7.148 5.308
Au Ho O S
2 2 2 2
Direct
0.873 0.127 0.500
0.373 0.627 0.500
0.122 0.378 0.119
0.622 0.878 0.881
0.622 0.378 0.000
0.122 0.878 0.000
0.623 0.877 0.282
0.123 0.377 0.718
```

15.
An optimized crystal structure of Ba2CdTcN6. Source: OQMD, functional PBE-GGA.

## Properties
Crystal system = monoclinic
DFT total energy = -59.41 eV per cell
Symmetry = C2/m
Theoretical density = 6.30 g cm⁻³

Geometry as POSCAR:
```
Ba2CdTcN6
1.0
-2.031 0.280 -5.596
0.795 -4.608 -3.694
-3.838 -0.443 4.565
Ba Cd N Tc
2 1 6 1
Direct
0.750 0.750 0.250
0.250 0.250 0.750
0.000 0.000 0.000
0.269 0.269 0.256
0.738 0.275 0.276
0.275 0.738 0.276
0.725 0.262 0.724
0.262 0.725 0.724
0.731 0.731 0.744
0.500 0.500 0.500
```

16.
An optimized crystal structure of Y2Nb4Ga3C3. Source: OQMD, functional PBE-GGA.

## Properties
Crystal system = monoclinic
DFT total energy = -194.02 eV per cell
Symmetry = C2/c
Theoretical density = 6.83 g cm⁻³

Geometry as POSCAR:
```
Y2Nb4Ga3C3
1.0
5.643 0.000 0.000
2.821 4.899 0.000
2.821 -1.522 13.977
C Ga Nb Y
6 6 8 4
Direct
0.673 0.173 0.000
0.000 0.500 0.000
0.327 0.827 0.000
0.346 0.327 0.500
0.000 0.000 0.500
0.654 0.673 0.500
0.165 0.733 0.248
0.681 0.250 0.250
0.646 0.767 0.252
0.354 0.233 0.748
0.319 0.750 0.750
0.835 0.267 0.752
0.613 0.537 0.081
0.936 0.858 0.081
0.375 0.642 0.419
0.731 0.963 0.419
0.269 0.037 0.581
0.625 0.358 0.581
0.064 0.142 0.919
0.387 0.463 0.919
0.264 0.196 0.114
0.074 0.304 0.386
0.926 0.696 0.614
0.736 0.804 0.886
```